Compound: Er2Ni17
Source: the Alexandria database
Functional: meta-GGA SCAN
Structure: PBEsol geometry

Computed properties:
E_tot: -19.966 eV per atom
calculated formation energy: -4.5 kcal/mol of atoms
total magnetization: 0.49 μB/atom

a b c (Å): 7.8714 8.1338 8.1338
angles (deg): 120.00 90.00 90.00
Closest atoms and distances in Å follow each position.
Element x y z (fractional)
Er  0.7500  0.0000  0.0000  18 Ni 2.85-3.16
Ni  0.7500  0.3703  0.0428  8 Ni 2.32-2.46
Ni  0.2500  0.3275  0.9572  8 Ni 2.32-2.46
Ni  0.7500  0.3703  0.3275  8 Ni 2.32-2.46
Ni  0.2500  0.0428  0.3703  8 Ni 2.32-2.46
Ni  0.5220  0.6692  0.8346  9 Ni 2.36-2.56
Ni  0.4780  0.8346  0.6692  9 Ni 2.36-2.56
Ni  0.2500  0.6297  0.6725  8 Ni 2.32-2.46
Ni  0.4780  0.3308  0.1654  9 Ni 2.36-2.56
Er  0.2500  0.0000  0.0000  18 Ni 2.85-3.16
Ni  0.5220  0.1654  0.3308  9 Ni 2.36-2.56
Ni  0.4780  0.8346  0.1654  9 Ni 2.36-2.56
Ni  0.7500  0.6725  0.6297  8 Ni 2.32-2.46
Ni  0.9780  0.6692  0.8346  9 Ni 2.36-2.56
Ni  0.0220  0.8346  0.1654  9 Ni 2.36-2.56
Ni  0.2500  0.3275  0.3703  8 Ni 2.32-2.46
Ni  0.9780  0.1654  0.8346  9 Ni 2.36-2.56
Ni  0.1012  0.3333  0.6667  7 Ni 2.34-2.56
Ni  0.3988  0.3333  0.6667  7 Ni 2.34-2.56
Ni  0.5000  0.0000  0.5000  10 Ni 2.34-2.48
Ni  0.0220  0.8346  0.6692  9 Ni 2.36-2.56
Ni  0.6012  0.6667  0.3333  7 Ni 2.34-2.56
Ni  0.9780  0.1654  0.3308  9 Ni 2.36-2.56
Ni  0.8988  0.6667  0.3333  7 Ni 2.34-2.56
Ni  0.5000  0.5000  0.0000  10 Ni 2.34-2.48
Ni  0.0220  0.3308  0.1654  9 Ni 2.36-2.56
Er  0.7500  0.3333  0.6667  20 Ni 2.76-3.06
Ni  0.0000  0.0000  0.5000  10 Ni 2.34-2.48
Ni  0.7500  0.9572  0.6297  8 Ni 2.32-2.46
Er  0.2500  0.6667  0.3333  20 Ni 2.76-3.06
Ni  0.5220  0.1654  0.8346  9 Ni 2.36-2.56
Ni  0.0000  0.5000  0.5000  10 Ni 2.34-2.48
Ni  0.0000  0.5000  0.0000  10 Ni 2.34-2.48
Ni  0.7500  0.6725  0.0428  8 Ni 2.32-2.46
Ni  0.5000  0.5000  0.5000  10 Ni 2.34-2.48
Ni  0.2500  0.6297  0.9572  8 Ni 2.32-2.46
Ni  0.2500  0.0428  0.6725  8 Ni 2.32-2.46
Ni  0.7500  0.9572  0.3275  8 Ni 2.32-2.46